A plane-wave DFT calculation with GGA-PBE was carried out for MnTcAg2 after structural relaxation.

Results
electronic total energy: -6.01 eV/atom
Fermi-level density of states: 2.678 states/eV per cell
space-group type: Cmm2
crystal system: orthorhombic
magnetization: 2.590 Bohr magnetons per cell

Unit cell a=2.745 b=2.745 c=9.109 alpha=90.00 beta=90.00 gamma=111.54
Positions (direct):
1 Mn 0.000 0.000 0.000
2 Tc 0.500 0.500 0.207
3 Ag 0.000 0.000 0.476
4 Ag 0.500 0.500 0.748

A plane-wave DFT calculation with GGA-PBE was carried out for MnTcAg2 after structural relaxation.

Results
electronic total energy: -6.01 eV/atom
Fermi-level density of states: 0.809 states/eV per cell
space-group type: R3m
crystal system: trigonal
magnetization: 0.000 Bohr magnetons per cell

Unit cell a=9.518 b=9.518 c=9.518 alpha=16.58 beta=16.58 gamma=16.58
Positions (direct):
1 Mn 0.000 0.000 0.000
2 Tc 0.734 0.734 0.734
3 Ag 0.249 0.249 0.249
4 Ag 0.491 0.491 0.491

A plane-wave DFT calculation with GGA-PBE was carried out for MnTcAg2 after structural relaxation.

Results
electronic total energy: -5.86 eV/atom
Fermi-level density of states: 3.441 states/eV per cell
space-group type: Cm
crystal system: monoclinic
magnetization: 3.074 Bohr magnetons per cell

Unit cell a=4.783 b=4.783 c=5.168 alpha=97.84 beta=97.84 gamma=33.01
Positions (direct):
1 Mn 0.000 0.000 0.000
2 Tc 0.258 0.258 0.806
3 Ag 0.505 0.505 0.524
4 Ag 0.750 0.750 0.286

A plane-wave DFT calculation with GGA-PBE was carried out for Ti2MnTcAg after structural relaxation.

Results
electronic total energy: -6.00 eV/atom
Fermi-level density of states: 9.773 states/eV per cell
space-group type: P4/mmm
crystal system: tetragonal
magnetization: 4.346 Bohr magnetons per cell

Unit cell a=4.759 b=4.759 c=4.948 alpha=90.00 beta=90.00 gamma=90.00
Positions (direct):
1 Ti 0.000 0.500 0.000
2 Ti 0.500 0.000 0.000
3 Mn 0.000 0.000 0.500
4 Tc 0.500 0.500 0.500
5 Ag 0.500 0.500 0.000

A plane-wave DFT calculation with GGA-PBE was carried out for MnZnTc2Ag after structural relaxation.

Results
electronic total energy: -4.85 eV/atom
Fermi-level density of states: 9.336 states/eV per cell
space-group type: P4/mmm
crystal system: tetragonal
magnetization: 0.029 Bohr magnetons per cell

Unit cell a=4.541 b=4.541 c=4.481 alpha=90.00 beta=90.00 gamma=90.00
Positions (direct):
1 Mn 0.000 0.000 0.000
2 Zn 0.500 0.500 0.500
3 Tc 0.000 0.500 0.500
4 Tc 0.500 0.000 0.500
5 Ag 0.500 0.500 0.000

A plane-wave DFT calculation with GGA-PBE was carried out for MnAgTe2 after structural relaxation.

Results
electronic total energy: -4.60 eV/atom
energy relative to the elements, uncorrected: -0.022 eV per atom
Fermi-level density of states: 2.069 states/eV per cell
space-group type: P4mm
crystal system: tetragonal
magnetization: 4.340 Bohr magnetons per cell

Unit cell a=3.852 b=3.852 c=7.299 alpha=90.00 beta=90.00 gamma=90.00
Positions (direct):
1 Mn 0.000 0.000 0.000
2 Ag 0.500 0.500 0.755
3 Te 0.000 0.000 0.625
4 Te 0.500 0.500 0.141

A plane-wave DFT calculation with GGA-PBE was carried out for MnAg3Te after structural relaxation.

Results
electronic total energy: -3.36 eV/atom
energy relative to the elements, uncorrected: 0.811 eV per atom
Fermi-level density of states: 3.124 states/eV per cell
space-group type: Pm-3m
crystal system: cubic
magnetization: 4.173 Bohr magnetons per cell

Unit cell a=4.987 b=4.987 c=4.987 alpha=90.00 beta=90.00 gamma=90.00
Positions (direct):
1 Mn 0.000 0.000 0.000
2 Ag 0.000 0.000 0.500
3 Ag 0.000 0.500 0.000
4 Ag 0.500 0.000 0.000
5 Te 0.500 0.500 0.500

A plane-wave DFT calculation with GGA-PBE was carried out for MnAgTe2 after structural relaxation.

Results
electronic total energy: -4.36 eV/atom
energy relative to the elements, uncorrected: 0.218 eV per atom
Fermi-level density of states: 2.514 states/eV per cell
space-group type: Pmmm
crystal system: orthorhombic
magnetization: 4.605 Bohr magnetons per cell

Unit cell a=3.835 b=4.082 c=7.064 alpha=90.00 beta=90.00 gamma=90.00
Positions (direct):
1 Mn 0.000 0.000 0.000
2 Ag 0.000 0.500 0.500
3 Te 0.500 0.000 0.500
4 Te 0.500 0.500 0.000